1.
## NbSbO3 (PBE-GGA)

Data for a geometry-optimized NbSbO3 structure.

Summary:
Uncorrected formation energy   -1.467 eV per atom
SG   Pm-3m, No. 221
Energy   -7.2805 eV per atom
Volume   66.92 Å³ per cell

Cell: 4.0598 4.0598 4.0598 Å, 90.00 90.00 90.00°
Element x y z (fractional)
Nb  0.0000  0.0000  0.0000
Sb  0.5000  0.5000  0.5000
O  0.0000  0.0000  0.5000
O  0.0000  0.5000  0.0000
O  0.5000  0.0000  0.0000

2.
## NbSbO2 (PBE-GGA)

Data for a geometry-optimized NbSbO2 structure.

Summary:
Uncorrected formation energy   -1.298 eV per atom
SG   I4_1/amd, No. 141
Energy   -7.3256 eV per atom
Volume   169.15 Å³ per cell

Cell: 6.2052 6.2052 6.2052 Å, 119.92 119.92 90.14°
Element x y z (fractional)
Nb  0.3750  0.6250  0.7500
Nb  0.6250  0.3750  0.2500
Sb  0.1250  0.8750  0.2500
Sb  0.8750  0.1250  0.7500
O  0.0000  0.5000  0.5000
O  0.5000  0.0000  0.0000
O  0.5000  0.5000  0.0000
O  0.5000  0.5000  0.5000

3.
## NbSb3O (PBE-GGA)

Data for a geometry-optimized NbSb3O structure.

Summary:
Uncorrected formation energy   0.097 eV per atom
SG   Pm-3m, No. 221
Energy   -5.3819 eV per atom
Volume   103.66 Å³ per cell

Cell: 4.6976 4.6976 4.6976 Å, 90.00 90.00 90.00°
Element x y z (fractional)
Nb  0.0000  0.0000  0.0000
Sb  0.0000  0.5000  0.5000
Sb  0.5000  0.0000  0.5000
Sb  0.5000  0.5000  0.0000
O  0.5000  0.5000  0.5000